VASP calculation (GGA-PBE) on crystalline TaAg2Sb at its relaxed geometry.

Summary:
Formation energy (no corrections)   309 meV/atom
Volume   19.11 A^3/atom
Fermi-level density of states   2.06 states/eV/cell

a b c (Å): 4.077 4.077 4.599
angles (deg): 90.00 90.00 90.00
Space group P4/mmm (No. 123)
Inequivalent atoms, fractional coordinates:
Ta  0.000  0.000  0.000 [1 per cell]
Ag  0.000  0.500  0.500 [2 per cell]
Sb  0.500  0.500  0.000 [1 per cell]